Here is a geometry-optimized HoMgGa2Ir2 structure from Alexandria via LeMat-Bulk. Energies are from GGA-PBE.

a b c (Å): 4.3692 4.3692 6.4799
angles (deg): 90.00 90.00 120.00
Closest atoms and distances in Å follow each position.
Space group P-3m1 (No. 164)
Inequivalent atoms, fractional coordinates:
Ho  0.0000  0.0000  0.0000 (multiplicity 1)  6 Ga 3.14, 6 Ir 3.14, 2 Mg 3.24
Mg  0.0000  0.0000  0.5000 (multiplicity 1)  6 Ir 2.87, 6 Ga 2.87
Ga  0.3333  0.6667  0.2888 (multiplicity 2)  4 Ir 2.52-2.74
Ir  0.3333  0.6667  0.7111 (multiplicity 2)  4 Ga 2.52-2.74

Calculated values
- Calculated density: 11.1 g/cm³
- Total energy: -5.647 eV/atom